Computed, not measured: an optimized crystal structure of RbSn2C2 at the PBEsol level of DFT.

Summary:
energy of formation from the pure elements	1.00	eV per atom
ρ	6.3	g/cm³
total moment	0.0	μB/f.u.
distance to the lowest polymorph of the same formula	0.00	eV/f.u.

Unit cell a=4.2980 b=4.2980 c=9.9276 alpha=90.00 beta=90.00 gamma=90.00
Closest atoms and distances in Å follow each position.
Space group I4/mmm (No. 139)
One atom of each set of equivalent atoms:
Rb  0.0000  0.0000  0.0000 x2  8 C 3.28, 10 Sn 3.36-3.44
Sn  0.0000  0.0000  0.3381 x4  4 C 2.32
C  0.0000  0.5000  0.2500 x4  4 Sn 2.32



Computed, not measured: an optimized crystal structure of Rb2TaC at the PBEsol level of DFT.

Summary:
energy of formation from the pure elements	2.88	eV per atom
ρ	5.3	g/cm³
total moment	2.9	μB/f.u.

Unit cell a=7.7008 b=7.7008 c=7.7008 alpha=90.00 beta=90.00 gamma=90.00
Closest atoms and distances in Å follow each position.
Space group Fm-3m (No. 225)
One atom of each set of equivalent atoms:
Rb  0.2500  0.2500  0.2500 x8  4 Ta 3.33, 4 C 3.33
Ta  0.0000  0.0000  0.0000 x4  8 Rb 3.33
C  0.0000  0.0000  0.5000 x4  8 Rb 3.33



Computed, not measured: an optimized crystal structure of Rb2TaTlC at the PBEsol level of DFT.

Summary:
energy of formation from the pure elements	1.04	eV per atom
ρ	5.9	g/cm³
total moment	0.7	μB/f.u.

Unit cell a=6.3167 b=6.3167 c=4.0290 alpha=90.00 beta=90.00 gamma=90.00
Closest atoms and distances in Å follow each position.
Space group P4/mmm (No. 123)
One atom of each set of equivalent atoms:
Rb  0.0000  0.5000  0.0000 x2  2 C 3.16
Ta  0.0000  0.0000  0.5000 x1  2 C 2.01
Tl  0.5000  0.5000  0.5000 x1  8 Rb 3.75, 2 Tl 4.03
C  0.0000  0.0000  0.0000 x1  2 Ta 2.01



Computed, not measured: an optimized crystal structure of Rb3TcC at the PBEsol level of DFT.

Summary:
energy of formation from the pure elements	2.38	eV per atom
ρ	2.4	g/cm³
total moment	6.0	μB/f.u.

Unit cell a=6.3294 b=6.3294 c=6.3294 alpha=90.00 beta=90.00 gamma=90.00
Closest atoms and distances in Å follow each position.
Space group Pm-3m (No. 221)
One atom of each set of equivalent atoms:
Rb  0.0000  0.0000  0.5000 x3  2 Tc 3.16
Tc  0.0000  0.0000  0.0000 x1  6 Rb 3.16
C  0.5000  0.5000  0.5000 x1  12 Rb 4.48



Computed, not measured: an optimized crystal structure of ReC3 at the PBEsol level of DFT.

Summary:
energy of formation from the pure elements	2.77	eV per atom
ρ	11.1	g/cm³
total moment	0.0	μB/f.u.
distance to the lowest polymorph of the same formula	7.83	eV/f.u.

Unit cell a=3.2109 b=3.2109 c=3.2109 alpha=90.00 beta=90.00 gamma=90.00
Closest atoms and distances in Å follow each position.
Space group Pm-3m (No. 221)
One atom of each set of equivalent atoms:
Re  0.0000  0.0000  0.0000 x1  12 C 2.27
C  0.0000  0.5000  0.5000 x3  4 Re 2.27, 8 C 2.27



Computed, not measured: an optimized crystal structure of ReC5 at the PBEsol level of DFT.

Summary:
energy of formation from the pure elements	2.88	eV per atom
ρ	8.8	g/cm³
total moment	0.0	μB/f.u.
distance to the lowest polymorph of the same formula	1.49	eV/f.u.

Unit cell a=5.7081 b=5.7081 c=5.7081 alpha=90.00 beta=90.00 gamma=90.00
Closest atoms and distances in Å follow each position.
Space group F-43m (No. 216)
One atom of each set of equivalent atoms:
Re  0.0000  0.0000  0.0000 x4  16 C 2.43-2.47
C  0.0961  0.0961  0.4039 x16  3 C 1.55
C  0.2500  0.2500  0.7500 x4  12 C 2.33, 4 Re 2.47



Computed, not measured: an optimized crystal structure of Re2C at the PBEsol level of DFT.

Summary:
energy of formation from the pure elements	1.21	eV per atom
ρ	16.7	g/cm³
total moment	0.0	μB/f.u.
distance to the lowest polymorph of the same formula	3.91	eV/f.u.

Unit cell a=2.8359 b=4.1160 c=6.5523 alpha=90.00 beta=90.00 gamma=90.00
Closest atoms and distances in Å follow each position.
Space group Immm (No. 71)
One atom of each set of equivalent atoms:
Re  0.0000  0.0000  0.1866 x4  1 C 2.05
C  0.0000  0.0000  0.5000 x2  2 Re 2.05



Computed, not measured: an optimized crystal structure of Re3C4 at the PBEsol level of DFT.

Summary:
energy of formation from the pure elements	1.09	eV per atom
ρ	10.1	g/cm³
total moment	0.0	μB/f.u.

Unit cell a=4.6333 b=4.6333 c=4.6333 alpha=90.00 beta=90.00 gamma=90.00
Closest atoms and distances in Å follow each position.
Space group P-43m (No. 215)
One atom of each set of equivalent atoms:
Re  0.0000  0.0000  0.5000 x3  4 C 1.95
C  0.2261  0.2261  0.2261 x4  3 Re 1.95



Computed, not measured: an optimized crystal structure of ReC3 at the PBEsol level of DFT.

Summary:
energy of formation from the pure elements	1.96	eV per atom
ρ	9.6	g/cm³
total moment	0.0	μB/f.u.
distance to the lowest polymorph of the same formula	4.61	eV/f.u.

Unit cell a=2.6783 b=2.6783 c=21.5310 alpha=90.00 beta=90.00 gamma=90.00
Closest atoms and distances in Å follow each position.
Space group I4/mmm (No. 139)
One atom of each set of equivalent atoms:
Re  0.0000  0.0000  0.1705 x4  8 C 2.09-2.17
C  0.0000  0.0000  0.3708 x4  4 Re 2.09
C  0.0000  0.5000  0.0000 x4  4 C 1.89
C  0.0000  0.5000  0.2500 x4  4 C 1.89



Computed, not measured: an optimized crystal structure of ReC5 at the PBEsol level of DFT.

Summary:
energy of formation from the pure elements	2.63	eV per atom
ρ	7.8	g/cm³
total moment	0.0	μB/f.u.
distance to the lowest polymorph of the same formula	0.00	eV/f.u.

Unit cell a=3.7844 b=3.7844 c=4.2416 alpha=90.00 beta=90.00 gamma=120.00
Closest atoms and distances in Å follow each position.
Space group P-62m (No. 189)
One atom of each set of equivalent atoms:
Re  0.0000  0.0000  0.0000 x1  12 C 2.18-2.29
C  0.0000  0.7740  0.5000 x3  2 C 1.48
C  0.3333  0.6667  0.0000 x2  3 Re 2.18, 3 C 2.18



Computed, not measured: an optimized crystal structure of ReC3 at the PBEsol level of DFT.

Summary:
energy of formation from the pure elements	0.81	eV per atom
ρ	9.6	g/cm³
total moment	0.0	μB/f.u.
distance to the lowest polymorph of the same formula	0.00	eV/f.u.

Unit cell a=2.8912 b=2.8912 c=15.9962 alpha=90.00 beta=90.00 gamma=120.00
Closest atoms and distances in Å follow each position.
Space group R-3m (No. 166, hexagonal axes)
One atom of each set of equivalent atoms:
Re  0.0000  0.0000  0.0000 x3  6 C 2.15
C  0.0000  0.0000  0.4180 x6  1 C 1.31
C  0.0000  0.0000  0.5000 x3  2 C 1.31



Computed, not measured: an optimized crystal structure of Re2C at the PBEsol level of DFT.

Summary:
energy of formation from the pure elements	-0.10	eV per atom
ρ	18.6	g/cm³
total moment	0.0	μB/f.u.
distance to the lowest polymorph of the same formula	0.00	eV/f.u.

Unit cell a=2.8415 b=2.8415 c=9.8416 alpha=90.00 beta=90.00 gamma=120.00
Closest atoms and distances in Å follow each position.
Space group P6_3/mmc (No. 194)
One atom of each set of equivalent atoms:
Re  0.3333  0.6667  0.1084 x4  3 C 2.15
C  0.3333  0.6667  0.7500 x2  6 Re 2.15



Computed, not measured: an optimized crystal structure of Re2C at the PBEsol level of DFT.

Summary:
energy of formation from the pure elements	1.16	eV per atom
ρ	17.4	g/cm³
total moment	0.0	μB/f.u.
distance to the lowest polymorph of the same formula	3.77	eV/f.u.

Unit cell a=5.2701 b=5.2701 c=5.2701 alpha=90.00 beta=90.00 gamma=90.00
Closest atoms and distances in Å follow each position.
Space group Fm-3m (No. 225)
One atom of each set of equivalent atoms:
Re  0.2500  0.2500  0.2500 x8  4 C 2.28
C  0.0000  0.0000  0.0000 x4  8 Re 2.28



Computed, not measured: an optimized crystal structure of ReSn2RhC at the PBEsol level of DFT.

Summary:
energy of formation from the pure elements	1.15	eV per atom
ρ	8.8	g/cm³
total moment	0.0	μB/f.u.

Unit cell a=5.1267 b=5.1267 c=3.8499 alpha=90.00 beta=90.00 gamma=90.00
Closest atoms and distances in Å follow each position.
Space group P4/mmm (No. 123)
One atom of each set of equivalent atoms:
Re  0.0000  0.0000  0.0000 x1  2 C 1.92
Sn  0.0000  0.5000  0.0000 x2  2 Re 2.56
Rh  0.5000  0.5000  0.5000 x1  8 Sn 3.21
C  0.0000  0.0000  0.5000 x1  2 Re 1.92



Computed, not measured: an optimized crystal structure of ReC3S at the PBEsol level of DFT.

Summary:
ρ	6.4	g/cm³
total moment	1.0	μB/f.u.
E_form (uncorrected)	2183	meV/atom

Unit cell a=4.0399 b=4.0399 c=4.0399 alpha=90.00 beta=90.00 gamma=90.00
Closest atoms and distances in Å follow each position.
Space group Pm-3m (No. 221)
One atom of each set of equivalent atoms:
Re  0.0000  0.0000  0.0000 x1  6 C 2.02
C  0.0000  0.0000  0.5000 x3  2 Re 2.02
S  0.5000  0.5000  0.5000 x1  12 C 2.86



Computed, not measured: an optimized crystal structure of ReCS3 at the PBEsol level of DFT.

Summary:
ρ	8.1	g/cm³
total moment	0.0	μB/f.u.
E_form (uncorrected)	1261	meV/atom

Unit cell a=3.9204 b=3.9204 c=3.9204 alpha=90.00 beta=90.00 gamma=90.00
Closest atoms and distances in Å follow each position.
Space group Pm-3m (No. 221)
One atom of each set of equivalent atoms:
Re  0.0000  0.0000  0.0000 x1  12 S 2.77
C  0.5000  0.5000  0.5000 x1  6 S 1.96
S  0.0000  0.5000  0.5000 x3  2 C 1.96



Computed, not measured: an optimized crystal structure of SmRe2SiC at the PBEsol level of DFT.

Summary:
ρ	12.0	g/cm³
total moment	0.0	μB/f.u.
E_form (uncorrected)	-481	meV/atom

Unit cell a=3.9635 b=10.8507 c=7.2579 alpha=90.00 beta=90.00 gamma=90.00
Closest atoms and distances in Å follow each position.
Space group Cmcm (No. 63)
One atom of each set of equivalent atoms:
Sm  0.0000  0.0429  0.2500 x4  4 C 2.73, 1 Si 3.02
Re  0.0000  0.3256  0.0621 x8  1 C 1.95
Si  0.0000  0.2350  0.7500 x4  6 Re 2.47-2.49
C  0.0000  0.5000  0.0000 x4  2 Re 1.95



Computed, not measured: an optimized crystal structure of Sm2Re2Si2C at the PBEsol level of DFT.

Summary:
ρ	10.2	g/cm³
total moment	0.0	μB/f.u.
E_form (uncorrected)	-630	meV/atom

Unit cell a=10.9387 b=3.9903 c=7.0054 alpha=90.00 beta=127.51 gamma=90.00
Closest atoms and distances in Å follow each position.
Space group C2/m (No. 12)
One atom of each set of equivalent atoms:
Sm  0.0726  0.0000  0.3007 x4  2 C 2.65
Re  0.2065  0.5000  0.0887 x4  1 C 1.94
Si  0.1432  0.5000  0.6859 x4  3 Re 2.45-2.46, 1 Si 2.58
C  0.0000  0.5000  0.0000 x2  2 Re 1.94



Computed, not measured: an optimized crystal structure of Tb2Re2Si2C at the PBEsol level of DFT.

Summary:
ρ	10.7	g/cm³
total moment	0.0	μB/f.u.
E_form (uncorrected)	-661	meV/atom

Unit cell a=10.8371 b=3.9505 c=6.8884 alpha=90.00 beta=127.15 gamma=90.00
Closest atoms and distances in Å follow each position.
Space group C2/m (No. 12)
One atom of each set of equivalent atoms:
Tb  0.0723  0.0000  0.2988 x4  2 C 2.61
Re  0.2076  0.5000  0.0909 x4  1 C 1.94
Si  0.1411  0.5000  0.6794 x4  3 Re 2.44-2.47, 1 Si 2.52
C  0.0000  0.5000  0.0000 x2  2 Re 1.94



Computed, not measured: an optimized crystal structure of ThRe2SiC at the PBEsol level of DFT.

Summary:
ρ	13.4	g/cm³
total moment	0.0	μB/f.u.
E_form (uncorrected)	-493	meV/atom

Unit cell a=4.0033 b=10.9835 c=7.2715 alpha=90.00 beta=90.00 gamma=90.00
Closest atoms and distances in Å follow each position.
Space group Cmcm (No. 63)
One atom of each set of equivalent atoms:
Th  0.0000  0.0452  0.2500 x4  4 C 2.75, 1 Si 3.07
Re  0.0000  0.3263  0.0624 x8  1 C 1.96
Si  0.0000  0.2344  0.7500 x4  6 Re 2.49-2.51
C  0.0000  0.5000  0.0000 x4  2 Re 1.96



Computed, not measured: an optimized crystal structure of Y2Re2Si2C at the PBEsol level of DFT.

Summary:
ρ	8.8	g/cm³
total moment	0.0	μB/f.u.
E_form (uncorrected)	-671	meV/atom

Unit cell a=10.8271 b=3.9457 c=6.8723 alpha=90.00 beta=127.12 gamma=90.00
Closest atoms and distances in Å follow each position.
Space group C2/m (No. 12)
One atom of each set of equivalent atoms:
Y  0.0722  0.0000  0.2988 x4  2 C 2.60
Re  0.2077  0.5000  0.0914 x4  1 C 1.94
Si  0.1409  0.5000  0.6788 x4  3 Re 2.44-2.47, 1 Si 2.51
C  0.0000  0.5000  0.0000 x2  2 Re 1.94



Computed, not measured: an optimized crystal structure of YRe2SiC at the PBEsol level of DFT.

Summary:
ρ	10.9	g/cm³
total moment	0.0	μB/f.u.
E_form (uncorrected)	-494	meV/atom

Unit cell a=3.9188 b=10.8359 c=7.2209 alpha=90.00 beta=90.00 gamma=90.00
Closest atoms and distances in Å follow each position.
Space group Cmcm (No. 63)
One atom of each set of equivalent atoms:
Y  0.0000  0.0426  0.2500 x4  4 C 2.70, 1 Si 3.01
Re  0.0000  0.3262  0.0620 x8  1 C 1.94
Si  0.0000  0.2355  0.7500 x4  6 Re 2.46-2.48
C  0.0000  0.5000  0.0000 x4  2 Re 1.94



Computed, not measured: an optimized crystal structure of Sm2ReC2 at the PBEsol level of DFT.

Summary:
energy of formation from the pure elements	-0.35	eV per atom
ρ	9.9	g/cm³
total moment	0.0	μB/f.u.

Unit cell a=6.5984 b=5.2096 c=9.9536 alpha=90.00 beta=90.00 gamma=90.00
Closest atoms and distances in Å follow each position.
Space group Pnma (No. 62)
One atom of each set of equivalent atoms:
Sm  0.0269  0.2500  0.2145 x4  4 C 2.56-2.77
Sm  0.1856  0.2500  0.5521 x4  5 C 2.53-2.62
Re  0.2258  0.2500  0.8619 x4  3 C 1.92-2.03
C  0.0391  0.7500  0.2416 x4  2 Re 1.96-2.03
C  0.1815  0.7500  0.5442 x4  1 Re 1.92



Computed, not measured: an optimized crystal structure of ReTc2SnC at the PBEsol level of DFT.

Summary:
energy of formation from the pure elements	0.21	eV per atom
ρ	12.3	g/cm³
total moment	1.0	μB/f.u.

Unit cell a=4.1081 b=4.1081 c=4.0877 alpha=90.00 beta=90.00 gamma=90.00
Closest atoms and distances in Å follow each position.
Space group P4/mmm (No. 123)
One atom of each set of equivalent atoms:
Re  0.0000  0.0000  0.0000 x1  2 C 2.04
Tc  0.0000  0.5000  0.5000 x2  2 C 2.05
Sn  0.5000  0.5000  0.0000 x1  8 Tc 2.90, 4 Re 2.90
C  0.0000  0.0000  0.5000 x1  2 Re 2.04, 4 Tc 2.05



Computed, not measured: an optimized crystal structure of Zr2ReSnC at the PBEsol level of DFT.

Summary:
energy of formation from the pure elements	-0.37	eV per atom
ρ	9.8	g/cm³
total moment	0.0	μB/f.u.

Unit cell a=4.5811 b=4.5811 c=4.0182 alpha=90.00 beta=90.00 gamma=90.00
Closest atoms and distances in Å follow each position.
Space group P4/mmm (No. 123)
One atom of each set of equivalent atoms:
Zr  0.0000  0.5000  0.0000 x2  2 C 2.29
Re  0.0000  0.0000  0.5000 x1  2 C 2.01
Sn  0.5000  0.5000  0.5000 x1  8 Zr 3.05, 4 Re 3.24
C  0.0000  0.0000  0.0000 x1  2 Re 2.01



Computed, not measured: an optimized crystal structure of TaRe3C at the PBEsol level of DFT.

Summary:
energy of formation from the pure elements	0.00	eV per atom
ρ	18.4	g/cm³
total moment	0.0	μB/f.u.

Unit cell a=4.0811 b=4.0811 c=4.0811 alpha=90.00 beta=90.00 gamma=90.00
Closest atoms and distances in Å follow each position.
Space group Pm-3m (No. 221)
One atom of each set of equivalent atoms:
Ta  0.0000  0.0000  0.0000 x1  12 Re 2.89
Re  0.0000  0.5000  0.5000 x3  2 C 2.04
C  0.5000  0.5000  0.5000 x1  6 Re 2.04